[1]
The following is a DFT calculation (PBE-GGA) of a geometry-optimized Ga2Ge2Ir3 structure.

M_tot = 0.000 μB/atom
Raw total energy = -6.178 eV/atom
ΔH_f (0 K) = -197 meV/atom

```
Ga2Ge2Ir3
1.0
6.090 -2.036 0.000
6.090 2.036 0.000
-0.911 0.000 5.092
Ga Ge Ir
2 2 3
direct
0.087 0.087 0.335
0.913 0.913 0.665
0.321 0.321 0.172
0.679 0.679 0.828
0.289 0.289 0.688
0.500 0.500 0.500
0.711 0.711 0.312
```


[2]
The following is a DFT calculation (PBE-GGA) of a geometry-optimized GaGeIr3 structure.

M_tot = 0.000 μB/atom
Raw total energy = -5.811 eV/atom
ΔH_f (0 K) = 1034 meV/atom

```
GaGeIr3
1.0
4.550 0.000 0.000
0.000 4.550 0.000
0.000 0.000 4.550
Ga Ge Ir
1 1 3
direct
0.000 0.000 0.000
0.500 0.500 0.500
0.000 0.500 0.500
0.500 0.000 0.500
0.500 0.500 0.000
```


[3]
The following is a DFT calculation (PBE-GGA) of a geometry-optimized GaGeIr2 structure.

M_tot = 0.000 μB/atom
Raw total energy = -6.501 eV/atom
ΔH_f (0 K) = -160 meV/atom

```
GaGeIr2
1.0
4.441 0.000 0.000
0.000 4.441 0.000
0.000 0.000 2.976
Ga Ge Ir
1 1 2
direct
0.000 0.000 0.000
0.500 0.500 0.000
0.000 0.500 0.500
0.500 0.000 0.500
```


[4]
The following is a DFT calculation (PBE-GGA) of a geometry-optimized GaGeIr structure.

M_tot = 0.000 μB/atom
Raw total energy = -5.602 eV/atom
ΔH_f (0 K) = -100 meV/atom

```
GaGeIr
1.0
-1.708 1.708 3.974
1.708 -1.708 3.974
1.708 1.708 -3.974
Ga Ge Ir
1 1 1
direct
0.000 0.000 0.000
0.679 0.679 0.000
0.336 0.336 0.000
```


[5]
The following is a DFT calculation (PBE-GGA) of a geometry-optimized Ga3GeIr3 structure.

M_tot = 0.000 μB/atom
Raw total energy = -5.935 eV/atom
ΔH_f (0 K) = -181 meV/atom

```
Ga3GeIr3
1.0
7.530 0.000 0.000
0.000 7.530 0.000
0.000 0.000 7.530
Ga Ge Ir
12 4 12
direct
0.074 0.426 0.574
0.121 0.121 0.121
0.208 0.792 0.292
0.292 0.208 0.792
0.379 0.879 0.621
0.426 0.574 0.074
0.574 0.074 0.426
0.621 0.379 0.879
0.708 0.708 0.708
0.792 0.292 0.208
0.879 0.621 0.379
0.926 0.926 0.926
0.094 0.594 0.906
0.406 0.406 0.406
0.594 0.906 0.094
0.906 0.094 0.594
0.052 0.787 0.624
0.124 0.448 0.213
0.213 0.124 0.448
0.287 0.876 0.948
0.376 0.552 0.713
0.448 0.213 0.124
0.552 0.713 0.376
0.624 0.052 0.787
0.713 0.376 0.552
0.787 0.624 0.052
0.876 0.948 0.287
0.948 0.287 0.876
```


[6]
The following is a DFT calculation (PBE-GGA) of a geometry-optimized La2GaGe6Ir structure.

M_tot = 0.000 μB/atom
Raw total energy = -5.314 eV/atom
ΔH_f (0 K) = -369 meV/atom

```
La2GaGe6Ir
1.0
5.883 0.000 0.000
0.000 8.496 0.000
0.000 0.000 8.963
La Ga Ge Ir
4 2 12 2
direct
0.250 0.000 0.210
0.250 0.500 0.210
0.750 0.000 0.790
0.750 0.500 0.790
0.250 0.250 0.846
0.750 0.750 0.154
0.010 0.750 0.475
0.044 0.750 0.961
0.250 0.036 0.644
0.250 0.464 0.644
0.456 0.750 0.961
0.490 0.750 0.475
0.510 0.250 0.525
0.544 0.250 0.039
0.750 0.536 0.356
0.750 0.964 0.356
0.956 0.250 0.039
0.990 0.250 0.525
0.250 0.750 0.707
0.750 0.250 0.293
```


[7]
The following is a DFT calculation (PBE-GGA) of a geometry-optimized La2Ga2Ge4Ir structure.

M_tot = 0.000 μB/atom
Raw total energy = -5.370 eV/atom
ΔH_f (0 K) = -565 meV/atom

```
La2Ga2Ge4Ir
1.0
-3.254 3.254 4.384
3.254 -3.254 4.384
3.254 3.254 -4.384
La Ga Ge Ir
2 2 4 1
direct
0.250 0.750 0.500
0.750 0.250 0.500
0.210 0.210 0.000
0.790 0.790 0.000
0.222 0.222 0.445
0.222 0.778 0.000
0.778 0.222 0.000
0.778 0.778 0.555
0.500 0.500 0.000
```


[8]
The following is a DFT calculation (PBE-GGA) of a geometry-optimized La2Ga3GeIr4 structure.

M_tot = 0.000 μB/atom
Raw total energy = -6.640 eV/atom
ΔH_f (0 K) = -740 meV/atom

```
La2Ga3GeIr4
1.0
4.373 0.000 0.000
0.000 4.373 0.000
0.000 0.000 10.094
La Ga Ge Ir
2 3 1 4
direct
0.000 0.500 0.241
0.500 0.000 0.759
0.000 0.500 0.874
0.500 0.000 0.126
0.500 0.500 0.500
0.000 0.000 0.500
0.000 0.000 0.000
0.000 0.500 0.625
0.500 0.000 0.375
0.500 0.500 0.000
```


[9]
The following is a DFT calculation (PBE-GGA) of a geometry-optimized La2GaGe3Ir4 structure.

M_tot = 0.000 μB/atom
Raw total energy = -7.017 eV/atom
ΔH_f (0 K) = -799 meV/atom

```
La2GaGe3Ir4
1.0
4.287 0.000 0.000
0.000 4.287 0.000
0.000 0.000 10.366
La Ga Ge Ir
2 1 3 4
direct
0.000 0.500 0.246
0.500 0.000 0.754
0.500 0.500 0.000
0.000 0.000 0.000
0.000 0.500 0.629
0.500 0.000 0.371
0.000 0.000 0.500
0.000 0.500 0.869
0.500 0.000 0.131
0.500 0.500 0.500
```


[10]
The following is a DFT calculation (PBE-GGA) of a geometry-optimized NaGaGeIr structure.

M_tot = 0.000 μB/atom
Raw total energy = -4.679 eV/atom
ΔH_f (0 K) = -223 meV/atom

```
NaGaGeIr
1.0
2.096 1.210 5.514
-2.096 1.210 5.514
0.000 -2.421 5.514
Na Ga Ge Ir
1 1 1 1
direct
0.000 0.000 0.000
0.445 0.445 0.445
0.201 0.201 0.201
0.820 0.820 0.820
```


[11]
The following is a DFT calculation (PBE-GGA) of a geometry-optimized Na2GaGe3Ir4 structure.

M_tot = 0.000 μB/atom
Raw total energy = -5.814 eV/atom
ΔH_f (0 K) = -318 meV/atom

```
Na2GaGe3Ir4
1.0
4.154 0.000 0.000
0.000 4.154 0.000
0.000 0.000 10.465
Na Ga Ge Ir
2 1 3 4
direct
0.000 0.500 0.242
0.500 0.000 0.758
0.000 0.000 0.500
0.000 0.500 0.871
0.500 0.000 0.129
0.500 0.500 0.500
0.000 0.000 0.000
0.000 0.500 0.634
0.500 0.000 0.366
0.500 0.500 0.000
```


[12]
The following is a DFT calculation (PBE-GGA) of a geometry-optimized NdGa2GeIr structure.

M_tot = 0.000 μB/atom
Raw total energy = -5.427 eV/atom
ΔH_f (0 K) = -567 meV/atom

```
NdGa2GeIr
1.0
-2.037 2.071 5.575
2.037 -2.071 5.575
2.037 2.071 -5.575
Nd Ga Ge Ir
1 2 1 1
direct
0.000 0.000 0.000
0.383 0.383 0.000
0.753 0.253 0.500
0.610 0.610 0.000
0.243 0.743 0.500
```


[13]
The following is a DFT calculation (PBE-GGA) of a geometry-optimized NpGaGeIr structure.

M_tot = 0.944 μB/atom
Raw total energy = -7.423 eV/atom
ΔH_f (0 K) = -62 meV/atom

```
NpGaGeIr
1.0
0.000 3.300 3.300
3.300 0.000 3.300
3.300 3.300 0.000
Np Ga Ge Ir
1 1 1 1
direct
0.000 0.000 0.000
0.750 0.750 0.750
0.250 0.250 0.250
0.500 0.500 0.500
```


[14]
The following is a DFT calculation (PBE-GGA) of a geometry-optimized GaGeIrOs structure.

M_tot = 0.000 μB/atom
Raw total energy = -7.009 eV/atom
ΔH_f (0 K) = -75 meV/atom

```
GaGeIrOs
1.0
0.000 3.059 3.059
3.059 0.000 3.059
3.059 3.059 0.000
Ga Ge Ir Os
1 1 1 1
direct
0.000 0.000 0.000
0.500 0.500 0.500
0.750 0.750 0.750
0.250 0.250 0.250
```


[15]
The following is a DFT calculation (PBE-GGA) of a geometry-optimized Pm2Ga3GeIr4 structure.

M_tot = 0.000 μB/atom
Raw total energy = -6.578 eV/atom
ΔH_f (0 K) = -713 meV/atom

```
Pm2Ga3GeIr4
1.0
4.327 0.000 0.000
0.000 4.327 0.000
0.000 0.000 10.038
Pm Ga Ge Ir
2 3 1 4
direct
0.000 0.500 0.239
0.500 0.000 0.761
0.000 0.500 0.873
0.500 0.000 0.127
0.500 0.500 0.500
0.000 0.000 0.500
0.000 0.000 0.000
0.000 0.500 0.626
0.500 0.000 0.374
0.500 0.500 0.000
```


[16]
The following is a DFT calculation (PBE-GGA) of a geometry-optimized Pm2GaGe4Ir3 structure.

M_tot = 0.000 μB/atom
Raw total energy = -6.425 eV/atom
ΔH_f (0 K) = -667 meV/atom

```
Pm2GaGe4Ir3
1.0
4.291 0.000 0.000
0.000 4.291 0.000
0.000 0.000 10.290
Pm Ga Ge Ir
2 1 4 3
direct
0.000 0.500 0.242
0.500 0.000 0.758
0.000 0.000 0.500
0.000 0.000 0.000
0.000 0.500 0.642
0.500 0.000 0.358
0.500 0.500 0.000
0.000 0.500 0.878
0.500 0.000 0.122
0.500 0.500 0.500
```


[17]
The following is a DFT calculation (PBE-GGA) of a geometry-optimized PmGaGeIr2 structure.

M_tot = 0.000 μB/atom
Raw total energy = -6.514 eV/atom
ΔH_f (0 K) = -490 meV/atom

```
PmGaGeIr2
1.0
2.162 -6.352 0.000
2.162 6.352 0.000
0.000 0.000 7.216
Pm Ga Ge Ir
2 2 2 4
direct
0.101 0.899 0.750
0.899 0.101 0.250
0.205 0.795 0.250
0.795 0.205 0.750
0.500 0.500 0.000
0.500 0.500 0.500
0.318 0.682 0.551
0.318 0.682 0.949
0.682 0.318 0.051
0.682 0.318 0.449
```


[18]
The following is a DFT calculation (PBE-GGA) of a geometry-optimized Pr2GaGe3Ir4 structure.

M_tot = 0.000 μB/atom
Raw total energy = -6.954 eV/atom
ΔH_f (0 K) = -765 meV/atom

```
Pr2GaGe3Ir4
1.0
4.276 0.000 0.000
0.000 4.276 0.000
0.000 0.000 10.290
Pr Ga Ge Ir
2 1 3 4
direct
0.000 0.500 0.247
0.500 0.000 0.753
0.500 0.500 0.000
0.000 0.000 0.000
0.000 0.500 0.630
0.500 0.000 0.370
0.000 0.000 0.500
0.000 0.500 0.869
0.500 0.000 0.131
0.500 0.500 0.500
```


[19]
The following is a DFT calculation (PBE-GGA) of a geometry-optimized Pr2GaGe4Ir3 structure.

M_tot = 0.000 μB/atom
Raw total energy = -6.432 eV/atom
ΔH_f (0 K) = -668 meV/atom

```
Pr2GaGe4Ir3
1.0
4.329 0.000 0.000
0.000 4.329 0.000
0.000 0.000 10.272
Pr Ga Ge Ir
2 1 4 3
direct
0.000 0.500 0.242
0.500 0.000 0.758
0.000 0.000 0.500
0.000 0.000 0.000
0.000 0.500 0.642
0.500 0.000 0.358
0.500 0.500 0.000
0.000 0.500 0.879
0.500 0.000 0.121
0.500 0.500 0.500
```


[20]
The following is a DFT calculation (PBE-GGA) of a geometry-optimized Pr2Ga3GeIr4 structure.

M_tot = 0.000 μB/atom
Raw total energy = -6.575 eV/atom
ΔH_f (0 K) = -704 meV/atom

```
Pr2Ga3GeIr4
1.0
4.353 0.000 0.000
0.000 4.353 0.000
0.000 0.000 10.066
Pr Ga Ge Ir
2 3 1 4
direct
0.000 0.500 0.241
0.500 0.000 0.759
0.000 0.500 0.874
0.500 0.000 0.126
0.500 0.500 0.500
0.000 0.000 0.500
0.000 0.000 0.000
0.000 0.500 0.625
0.500 0.000 0.375
0.500 0.500 0.000
```